(1)
Density functional theory data (GGA-PBEsol) for a relaxed ScZn2GeIr crystal.

abc: 4.694 4.694 4.603
angles: 90.00 90.00 90.00
Fractional positions:
1 Sc 0.000 0.000 0.000
2 Zn 0.000 0.500 0.500
3 Zn 0.500 0.000 0.500
4 Ge 0.500 0.500 0.000
5 Ir 0.500 0.500 0.500

Values from the calculation:
Formation energy from the elements in eV per atom: 0.078
Electronic total energy in Ry per atom: -0.35487
Magnetization in μB/f.u.: 0.00

***

(2)
Density functional theory data (GGA-PBEsol) for a relaxed ScNiAg2 crystal.

abc: 3.844 3.844 4.322
angles: 90.00 90.00 90.00
Fractional positions:
1 Sc 0.000 0.000 0.000
2 Ni 0.500 0.500 0.000
3 Ag 0.000 0.500 0.500
4 Ag 0.500 0.000 0.500

Values from the calculation:
Formation energy from the elements in eV per atom: -0.119
Electronic total energy in Ry per atom: -0.36493
Magnetization in μB/f.u.: 0.00

***

(3)
Density functional theory data (GGA-PBEsol) for a relaxed MgBeSb2 crystal.

abc: 6.855 6.855 6.855
angles: 124.39 124.39 82.55
Fractional positions:
1 Mg 0.000 0.000 0.000
2 Mg 0.750 0.250 0.500
3 Be 0.250 0.750 0.500
4 Be 0.500 0.500 0.000
5 Sb 0.184 0.125 0.559
6 Sb 0.375 0.816 0.941
7 Sb 0.566 0.625 0.441
8 Sb 0.875 0.434 0.059

Values from the calculation:
Electronic total energy in Ry per atom: -0.25807
Magnetization in μB/f.u.: 0.00

***

Look up the electronic total energy of the second one. -0.36493 Ry per atom

***

Which of these has the highest electronic total energy? MgBeSb2

***

Which value of electronic total energy does entry 3 give? -0.25807 Ry per atom